No. 1
# SiTcRuC

An optimized crystal structure of SiTcRuC (PBE-GGA, Alexandria).

Values from the calculation:
space group: R3m (160)
relative energy among the computed polymorphs: 11 meV per atom

Unit cell a=7.0085 b=7.0085 c=7.0085 alpha=23.19 beta=23.19 gamma=23.19
Closest atoms and distances in Å follow each position.
Positions (direct):
Si  0.0000  0.0000  0.0000  3 Ru 2.54, 3 Tc 2.63, 6 Si 2.82
Tc  0.5659  0.5659  0.5659  3 C 2.14
Ru  0.4288  0.4288  0.4288  3 C 2.15
C  0.1645  0.1645  0.1645  3 Tc 2.14, 3 Ru 2.15

No. 2
# Rb3LaCl

An optimized crystal structure of Rb3LaCl (PBE-GGA, Alexandria).

Values from the calculation:
space group: Pm-3m (221)
relative energy among the computed polymorphs: 395 meV per atom

Unit cell a=7.4979 b=7.4979 c=7.4979 alpha=90.00 beta=90.00 gamma=90.00
Closest atoms and distances in Å follow each position.
Positions (direct):
Rb  0.0000  0.0000  0.5000  2 La 3.75
Rb  0.0000  0.5000  0.0000  2 La 3.75
Rb  0.5000  0.0000  0.0000  2 La 3.75
La  0.0000  0.0000  0.0000  6 Rb 3.75
Cl  0.5000  0.5000  0.5000  12 Rb 5.30

No. 3
# AcPuZnSi

An optimized crystal structure of AcPuZnSi (PBE-GGA, Alexandria).

Values from the calculation:
space group: F-43m (216)
DFT total energy: -0.238 hartree per atom

Unit cell a=5.2580 b=5.2580 c=5.2580 alpha=60.00 beta=60.00 gamma=60.00
Closest atoms and distances in Å follow each position.
Positions (direct):
Ac  0.0000  0.0000  0.0000  4 Si 3.22, 4 Zn 3.22
Pu  0.5000  0.5000  0.5000  4 Zn 3.22, 4 Si 3.22
Zn  0.2500  0.2500  0.2500  4 Pu 3.22, 4 Ac 3.22
Si  0.7500  0.7500  0.7500  4 Pu 3.22, 4 Ac 3.22

No. 4
# TcGeRuSe2

An optimized crystal structure of TcGeRuSe2 (PBE-GGA, Alexandria).

Values from the calculation:
space group: P4/mmm (123)
DFT total energy: -0.192 hartree per atom

Unit cell a=4.8486 b=4.8486 c=4.8203 alpha=90.00 beta=90.00 gamma=90.00
Closest atoms and distances in Å follow each position.
Positions (direct):
Tc  0.0000  0.0000  0.0000  2 Ge 2.41, 4 Se 2.42
Ge  0.0000  0.0000  0.5000  2 Tc 2.41
Ru  0.5000  0.5000  0.5000  8 Se 3.42, 4 Ge 3.43
Se  0.0000  0.5000  0.0000  2 Tc 2.42
Se  0.5000  0.0000  0.0000  2 Tc 2.42

No. 5
# Sc6In2FeH

An optimized crystal structure of Sc6In2FeH (PBE-GGA, Alexandria).

Values from the calculation:
space group: Fm-3m (225)
DFT total energy: -0.213 hartree per atom

Unit cell a=6.5962 b=6.5962 c=6.5962 alpha=60.00 beta=60.00 gamma=60.00
Closest atoms and distances in Å follow each position.
Positions (direct):
Sc  0.2456  0.2456  0.7544  1 H 2.29, 1 Fe 2.37
Sc  0.2456  0.7544  0.2456  1 H 2.29, 1 Fe 2.37
Sc  0.2456  0.7544  0.7544  1 H 2.29, 1 Fe 2.37
Sc  0.7544  0.2456  0.2456  1 H 2.29, 1 Fe 2.37
Sc  0.7544  0.2456  0.7544  1 H 2.29, 1 Fe 2.37
Sc  0.7544  0.7544  0.2456  1 H 2.29, 1 Fe 2.37
In  0.2500  0.2500  0.2500  12 Sc 3.30
In  0.7500  0.7500  0.7500  12 Sc 3.30
Fe  0.5000  0.5000  0.5000  6 Sc 2.37
H  0.0000  0.0000  0.0000  6 Sc 2.29

No. 6
# LaZrIn2

An optimized crystal structure of LaZrIn2 (PBE-GGA, Alexandria).

Values from the calculation:
space group: P4/mmm (123)
energy of formation from the pure elements: -35.4 kJ per mole of atoms

Unit cell a=3.3507 b=3.3507 c=9.1039 alpha=90.00 beta=90.00 gamma=90.00
Closest atoms and distances in Å follow each position.
Positions (direct):
La  0.0000  0.0000  0.0000  4 La 3.35, 8 In 3.43
Zr  0.0000  0.0000  0.5000  8 In 3.15, 4 Zr 3.35
In  0.5000  0.5000  0.2724  4 Zr 3.15, 4 In 3.35, 4 La 3.43
In  0.5000  0.5000  0.7276  4 Zr 3.15, 4 In 3.35, 4 La 3.43